Below is PrPaAl2 after structural relaxation, with properties calculated at the PBE-GGA level.

Output
- energy (eV per atom) = -5.6294
- excess energy over the best structure of this formula in the dataset (eV per atom) = 0.000
- DOS(E_F) (states/eV/cell) = 4.53
- energy of formation from the pure elements (eV/atom) = -0.1893

abc: 3.296 3.296 8.764
angles: 90.00 90.00 90.00
Element x y z (fractional)
Pr 0.500 0.500 0.500
Al 0.000 0.000 0.239
Al 0.000 0.000 0.761
Pa 0.500 0.500 0.000



Below is RbLiMnCl4 after structural relaxation, with properties calculated at the PBE-GGA level.

Output
- energy (eV per atom) = -4.3136
- DOS(E_F) (states/eV/cell) = 0.00
- uncorrected formation energy (eV per atom) = -1.537

abc: 6.275 7.889 8.779
angles: 90.00 102.94 90.00
Last column: magnetic moment on the atom in μB.
Element x y z (fractional)
Cl 0.064 0.028 0.729  0.05
Cl 0.936 0.972 0.271  0.05
Cl 0.505 0.750 0.527  0.05
Cl 0.627 0.250 0.892  0.06
Cl 0.495 0.250 0.473  0.05
Cl 0.936 0.528 0.271  0.05
Cl 0.373 0.750 0.108  0.06
Cl 0.064 0.472 0.729  0.05
Mn 0.195 0.750 0.323  4.34
Mn 0.805 0.250 0.677  4.34
Rb 0.774 0.750 0.899  0.00
Rb 0.226 0.250 0.101  0.00
Li 0.694 0.750 0.321  0.00
Li 0.306 0.250 0.679  0.00



Below is YHg2Br after structural relaxation, with properties calculated at the PBE-GGA level.

Output
- energy (eV per atom) = -2.5947
- excess energy over the best structure of this formula in the dataset (eV per atom) = 0.182
- DOS(E_F) (states/eV/cell) = 2.81
- uncorrected formation energy (eV per atom) = -0.410

abc: 5.220 5.220 5.220
angles: 60.00 60.00 60.00
Element x y z (fractional)
Hg 0.250 0.250 0.250
Hg 0.000 0.000 0.000
Br 0.500 0.500 0.500
Y 0.750 0.750 0.750



Below is HoHRh after structural relaxation, with properties calculated at the PBE-GGA level.

Output
- energy (eV per atom) = -5.5018
- excess energy over the best structure of this formula in the dataset (eV per atom) = 0.323
- DOS(E_F) (states/eV/cell) = 2.02

abc: 3.610 3.791 3.791
angles: 120.00 90.00 90.00
Element x y z (fractional)
Rh 0.167 0.000 0.000
Ho 0.667 0.333 0.667
H 0.167 0.667 0.333



Below is SmDy2Pa after structural relaxation, with properties calculated at the PBE-GGA level.

Output
- energy (eV per atom) = -5.5530
- excess energy over the best structure of this formula in the dataset (eV per atom) = 0.183
- DOS(E_F) (states/eV/cell) = 7.78
- energy of formation from the pure elements (eV/atom) = 0.3018

abc: 3.525 5.833 5.833
angles: 90.00 90.00 90.00
Last column: magnetic moment on the atom in μB.
Element x y z (fractional)
Dy 0.000 0.500 0.000  0.02
Dy 0.000 0.000 0.500  0.02
Sm 0.500 0.000 0.000  0.00
Pa 0.500 0.500 0.500  0.47